[1]
Cu3Pd4Au4 after structural relaxation, computed with PBE.

a b c (Å): 2.7585 7.3300 9.6500
angles (deg): 112.32 98.22 90.00
Positions (direct):
Cu 0.8950 0.8950 0.7900
Cu 0.1050 0.1050 0.2100
Cu 0.0000 0.5000 0.0000
Pd 0.7367 0.2366 0.4733
Pd 0.2633 0.7634 0.5267
Pd 0.5000 0.8099 0.0000
Pd 0.5000 0.1901 0.0000
Au 0.6462 0.4561 0.2924
Au 0.3538 0.1637 0.7076
Au 0.3538 0.5439 0.7076
Au 0.6462 0.8363 0.2924

Its space group is Immm, No. 71. Its formation energy is 0.021 eV/atom. As for the final energy: -45.94 eV for the cell shown.



[2]
KNdAgBr6 after structural relaxation, computed with PBE.

a b c (Å): 7.3505 7.3505 14.5865
angles (deg): 90.00 90.00 120.00
Each line ends with the local moment (μB).
Positions (direct):
K 0.0000 0.0000 0.0000  0.00
K 0.0000 0.0000 0.5000  0.00
Nd 0.3333 0.6667 0.2500  -0.01
Nd 0.6667 0.3333 0.7500  -0.01
Ag 0.6667 0.3333 0.2500  0.30
Ag 0.3333 0.6667 0.7500  0.30
Br 0.6328 0.6216 0.1357  0.10
Br 0.9888 0.3672 0.1357  0.10
Br 0.3672 0.9888 0.6357  0.10
Br 0.0112 0.6328 0.8643  0.10
Br 0.3784 0.3672 0.3643  0.10
Br 0.9888 0.6216 0.3643  0.10
Br 0.6216 0.9888 0.8643  0.10
Br 0.6328 0.0112 0.3643  0.10
Br 0.0112 0.3784 0.6357  0.10
Br 0.3784 0.0112 0.1357  0.10
Br 0.6216 0.6328 0.6357  0.10
Br 0.3672 0.3784 0.8643  0.10

Its space group is P-31c, No. 163. As for the final energy: -60.15 eV for the cell shown. The formation energy (no corrections) comes out at -1.258 eV/atom.



[3]
CdIr after structural relaxation, computed with PBE.

a b c (Å): 3.8268 3.8268 3.8268
angles (deg): 60.00 60.00 60.00
Each line ends with the local moment (μB).
Positions (direct):
Ir 0.5000 0.5000 0.5000  0.27
Cd 0.0000 0.0000 0.0000  0.00

Its space group is Fm-3m, No. 225. Its formation energy is 1.033 eV/atom. As for the final energy: -7.71 eV for the cell shown.



[4]
Be2SBr after structural relaxation, computed with PBE.

a b c (Å): 4.7137 5.5967 7.8023
angles (deg): 81.16 75.01 71.38
Positions (direct):
Be 0.1603 0.0770 0.3525
Be 0.4336 0.8267 0.1090
Be 0.0057 0.4188 0.2005
Be 0.7220 0.1178 0.3108
S 0.4609 0.1761 0.1167
S 0.0760 0.7499 0.2860
Br 0.3713 0.0740 0.5666
Br 0.8348 0.5938 0.9499

Its space group is P1, No. 1. As for the final energy: -31.17 eV for the cell shown. The energy relative to the lowest polymorph listed for this composition is 46.8 kJ/mol of formula units. The formation energy (no corrections) comes out at -0.583 eV/atom.



[5]
La3Pm2HoTe6 after structural relaxation, computed with PBE.

a b c (Å): 4.4856 9.0428 10.0580
angles (deg): 102.90 102.88 90.00
Positions (direct):
La 0.5000 0.5000 0.0000
La 0.8301 0.1663 0.6603
La 0.1699 0.8337 0.3397
Pm 0.8319 0.6649 0.6638
Pm 0.1681 0.3351 0.3362
Ho 0.5000 0.0000 0.0000
Te 0.3392 0.9149 0.6785
Te 0.6675 0.5789 0.3351
Te 0.6608 0.0851 0.3215
Te 0.0007 0.2376 0.0013
Te 0.9993 0.7624 0.9987
Te 0.3325 0.4211 0.6649

Its space group is C2/m, No. 12. As for the final energy: -65.46 eV for the cell shown. The formation energy (no corrections) comes out at -1.479 eV/atom.



[6]
Sr5LiMg2 after structural relaxation, computed with PBE.

a b c (Å): 5.9316 7.6489 14.5814
angles (deg): 90.00 90.00 90.00
Positions (direct):
Sr 0.5000 0.3319 0.1082
Sr 0.5000 0.6681 0.8918
Sr 0.5000 0.8319 0.3918
Sr 0.5000 0.1681 0.6082
Sr 0.0000 0.8690 0.7261
Sr 0.0000 0.1310 0.2739
Sr 0.0000 0.3690 0.7739
Sr 0.0000 0.6310 0.2261
Sr 0.0000 0.5000 0.5000
Sr 0.0000 0.0000 0.0000
Li 0.0000 0.0000 0.5000
Li 0.0000 0.5000 0.0000
Mg 0.5000 0.3527 0.3669
Mg 0.5000 0.6473 0.6331
Mg 0.5000 0.1473 0.8669
Mg 0.5000 0.8527 0.1331

Its space group is Pbam, No. 55. Its formation energy is 0.008 eV/atom. As for the final energy: -26.90 eV for the cell shown.



[7]
CaBe2 after structural relaxation, computed with PBE.

a b c (Å): 5.6361 5.6361 3.9957
angles (deg): 90.00 90.00 132.41
Positions (direct):
Ca 0.2387 0.2387 0.2500
Ca 0.7613 0.7613 0.7500
Be 0.4021 0.8571 0.2500
Be 0.5979 0.1429 0.7500
Be 0.8571 0.4021 0.2500
Be 0.1429 0.5979 0.7500

Its space group is Cmcm, No. 63. Its formation energy is 0.252 eV/atom. As for the final energy: -17.39 eV for the cell shown. The energy relative to the lowest polymorph listed for this composition is 20.4 kJ/mol of formula units.



[8]
ZrTiTcRu after structural relaxation, computed with PBE.

a b c (Å): 4.5132 4.5132 4.5132
angles (deg): 60.00 60.00 60.00
Positions (direct):
Ru 0.5000 0.5000 0.5000
Tc 0.0000 0.0000 0.0000
Zr 0.7500 0.7500 0.7500
Ti 0.2500 0.2500 0.2500

Its space group is F-43m, No. 216. Its formation energy is -0.550 eV/atom. As for the final energy: -38.29 eV for the cell shown. The energy relative to the lowest polymorph listed for this composition is 0.0 kJ/mol of formula units.



[9]
InGeCl3 after structural relaxation, computed with PBE.

a b c (Å): 5.2741 5.2741 12.5607
angles (deg): 77.88 77.88 90.00
Each line ends with the local moment (μB).
Positions (direct):
Ge 0.6111 0.1111 0.7778  0.23
Ge 0.8889 0.3889 0.2222  0.18
Cl 0.6134 0.8625 0.2749  0.00
Cl 0.1375 0.3866 0.7251  0.00
Cl 0.1375 0.8883 0.7251  0.00
Cl 0.1117 0.8625 0.2749  0.00
Cl 0.4307 0.4307 0.1387  0.00
Cl 0.5693 0.5693 0.8613  0.01
In 0.0000 0.0000 0.0000  0.05
In 0.2500 0.7500 0.5000  0.00

Its space group is I-4m2, No. 119. As for the final energy: -26.92 eV for the cell shown. The formation energy (no corrections) comes out at -0.113 eV/atom.



[10]
MnNi2Mo after structural relaxation, computed with PBE.

a b c (Å): 2.6768 4.3754 5.2442
angles (deg): 54.51 90.00 90.00
Each line ends with the local moment (μB).
Positions (direct):
Mn 0.5000 0.5000 0.5000  2.25
Mo 0.0000 0.0000 0.5000  -0.43
Ni 0.0000 0.0000 0.0000  0.24
Ni 0.5000 0.5000 0.0000  0.12

Its space group is P2/m, No. 10. Its formation energy is 0.122 eV/atom. As for the final energy: -31.07 eV for the cell shown. The energy relative to the lowest polymorph listed for this composition is 61.7 kJ/mol of formula units.



[11]
AcNdLuHg after structural relaxation, computed with PBE.

a b c (Å): 5.6074 5.6074 5.6074
angles (deg): 60.00 60.00 60.00
Positions (direct):
Ac 0.7500 0.7500 0.7500
Lu 0.5000 0.5000 0.5000
Nd 0.0000 0.0000 0.0000
Hg 0.2500 0.2500 0.2500

Its space group is F-43m, No. 216. Its formation energy is 0.060 eV/atom. As for the final energy: -13.46 eV for the cell shown.



[12]
SrHfMn2Pd after structural relaxation, computed with PBE.

a b c (Å): 4.6910 5.2504 4.6910
angles (deg): 90.00 90.00 90.00
Each line ends with the local moment (μB).
Positions (direct):
Sr 0.0000 0.0000 0.0000  -0.14
Mn 0.0000 0.0000 0.5000  3.05
Mn 0.5000 0.0000 0.0000  3.76
Hf 0.0000 0.5000 0.0000  -0.20
Pd 0.5000 0.5000 0.5000  0.02

Its space group is P4/mmm, No. 123. Its formation energy is 2.084 eV/atom. As for the final energy: -24.75 eV for the cell shown. The energy relative to the lowest polymorph listed for this composition is 730.0 kJ/mol of formula units.